{
  "formula": "CaTaCr2Fe",
  "functional": "GGA-PBE",
  "state": "optimized geometry",
  "formation_enthalpy_0k_mev_per_atom": 818,
  "total_energy_ev_per_fu": -37.5,
  "space_group": "P4/mmm",
  "cell": [[4.580, 0.000, 0.000], [0.000, 4.580, 0.000], [0.000, 0.000, 4.624]],
  "species": ["Ca", "Ta", "Cr", "Cr", "Fe"],
  "frac_coords": [[0.000, 0.000, 0.000], [0.500, 0.500, 0.000], [0.000, 0.500, 0.500], [0.500, 0.000, 0.500], [0.500, 0.500, 0.500]]
}